An optimized crystal structure of Ca2CuPt. Source: Alexandria, functional PBE.

theoretical density: 6.44 g/cm3
density of states at the Fermi level: 2.37 states/eV/f.u.
energy relative to the elements: -498 meV per atom
raw total energy: -4.03 eV per atom
magnetic moment: 0.0 μB per formula unit

Lattice parameters (Å, degrees): 4.934 4.934 3.589 90.00 90.00 90.00
Space group P4/mmm (No. 123)
Symmetry-distinct sites (fractional):
Ca 0.000 0.500 0.000 (multiplicity 2)
Cu 0.000 0.000 0.500 (multiplicity 1)
Pt 0.500 0.500 0.500 (multiplicity 1)

An optimized crystal structure of ZrTe2CN. Source: Alexandria, functional PBE.

theoretical density: 6.28 g/cm3
density of states at the Fermi level: 3.31 states/eV/f.u.
raw total energy: -5.56 eV per atom
energy above the lowest structure with this stoichiometry: 0.000 eV/atom
magnetic moment: 0.0 μB per formula unit
raw formation energy: 916 meV per atom

Lattice parameters (Å, degrees): 6.055 6.055 2.685 90.00 90.00 90.00
Space group P4/mmm (No. 123)
Symmetry-distinct sites (fractional):
Zr 0.000 0.000 0.000 (multiplicity 1)
Te 0.000 0.500 0.500 (multiplicity 2)
C 0.500 0.500 0.500 (multiplicity 1)
N 0.500 0.500 0.000 (multiplicity 1)